# 1
VASP calculation (PBE) on an optimized crystal structure of EuHgBiSb.

Computed properties:
VASP energy, eV per atom: -5.021
Raw formation energy, kJ/mol of atoms: -36.3
Size of the total moment, μB/atom: 1.722

Cell lengths 5.517, 5.517, 5.517 Å; angles 60.00, 60.00, 60.00 degrees
Atoms (fractional coordinates):
Eu (0.000, 0.000, 0.000)
Hg (0.750, 0.750, 0.750)
Bi (0.500, 0.500, 0.500)
Sb (0.250, 0.250, 0.250)

=====

# 2
VASP calculation (PBE) on an optimized crystal structure of BeCd2.

Computed properties:
VASP energy, eV per atom: -1.506
Size of the total moment, μB/atom: 0.000
ΔE_f, eV/atom: 0.346

Cell lengths 6.166, 6.166, 6.166 Å; angles 151.66, 151.66, 40.51 degrees
Atoms (fractional coordinates):
Be (0.000, 0.000, 0.000)
Cd (0.356, 0.356, 0.000)
Cd (0.644, 0.644, 0.000)

=====

# 3
VASP calculation (PBE) on an optimized crystal structure of Ni2SbW.

Computed properties:
VASP energy, eV per atom: -6.958
Raw formation energy, kJ/mol of atoms: 19.5
Size of the total moment, μB/atom: 0.000

Cell lengths 2.956, 3.663, 5.533 Å; angles 90.00, 90.11, 90.00 degrees
Atoms (fractional coordinates):
Ni (0.001, 0.000, 0.225)
Ni (0.999, 0.000, 0.775)
Sb (0.500, 0.500, 0.500)
W (0.500, 0.500, 0.000)

=====

# 4
VASP calculation (PBE) on an optimized crystal structure of Pr3YIn2.

Computed properties:
VASP energy, eV per atom: -4.735
Size of the total moment, μB/atom: 0.000
ΔE_f, eV/atom: -0.355

Cell lengths 5.355, 10.160, 6.900 Å; angles 90.00, 90.00, 90.00 degrees
Atoms (fractional coordinates):
Pr (0.000, 0.037, 0.000)
Pr (0.000, 0.326, 0.341)
Pr (0.000, 0.674, 0.841)
Pr (0.000, 0.963, 0.500)
Pr (0.500, 0.181, 0.730)
Pr (0.500, 0.819, 0.230)
Y (0.500, 0.460, 0.065)
Y (0.500, 0.540, 0.565)
In (0.000, 0.358, 0.826)
In (0.000, 0.642, 0.326)
In (0.500, 0.147, 0.246)
In (0.500, 0.853, 0.746)